Record 1
A relaxed structure of YTlZn. Source: Alexandria, functional PBE.

Its raw total energy is -0.134 hartree per atom. Its total magnetic moment is 0.0 Bohr magnetons per cell. The value obtained for the energy of formation from the pure elements is -0.28 eV/atom.

The space group is Pnma (No. 62) and the conventional cell measures 6.4149, 4.8478 and 9.0348 Å, with angles of 90.00, 90.00 and 90.00 degrees. Symmetry generates all atoms from Y at (0.1925, 0.2500, 0.0793), Tl at (0.0208, 0.2500, 0.7276) and Zn at (0.1861, 0.2500, 0.4108).

=====

Record 2
A relaxed structure of K4TbCe3Se8. Source: Alexandria, functional PBE.

As for the formation energy from raw total energies: -1.71 eV per atom. Its raw total energy is -0.188 hartree per atom. Its total magnetic moment is 9.0 Bohr magnetons per cell.

The space group is R-3m (No. 166, hexagonal axes) and the conventional cell measures 8.6890, 8.6890 and 23.0112 Å, with angles of 90.00, 90.00 and 120.00 degrees. Symmetry generates all atoms from K at (0.0000, 0.0000, 0.0000), K at (0.0000, 0.5000, 0.0000), Tb at (0.0000, 0.0000, 0.5000), Ce at (0.0000, 0.5000, 0.5000), Se at (0.0000, 0.0000, 0.2369) and Se at (0.0066, 0.5033, 0.2360).

=====

Record 3
A relaxed structure of CeDyEr. Source: Alexandria, functional PBE.

Its raw total energy is -0.182 hartree per atom. Its total magnetic moment is 1.4 Bohr magnetons per cell. The value obtained for the energy of formation from the pure elements is 0.07 eV/atom.

The space group is I4mm (No. 107) and the conventional cell measures 3.5077, 3.5077 and 14.8840 Å, with angles of 90.00, 90.00 and 90.00 degrees. Symmetry generates all atoms from Ce at (0.0000, 0.0000, 0.0000), Dy at (0.0000, 0.0000, 0.6645) and Er at (0.0000, 0.0000, 0.3367).

=====

Record 4
A relaxed structure of KFe2AuC. Source: Alexandria, functional PBE.

Its raw total energy is -0.195 hartree per atom. Its total magnetic moment is 4.4 Bohr magnetons per cell. The value obtained for the energy of formation from the pure elements is 0.80 eV/atom.

The space group is P4/mmm (No. 123) and the conventional cell measures 4.0089, 4.0089 and 4.8978 Å, with angles of 90.00, 90.00 and 90.00 degrees. Symmetry generates all atoms from K at (0.0000, 0.0000, 0.0000), Fe at (0.0000, 0.5000, 0.5000), Au at (0.5000, 0.5000, 0.0000) and C at (0.5000, 0.5000, 0.5000).